First-principles (PBE) data for an optimized crystal structure of Hf2NbMo, as listed in the Alexandria database.

The structure in POSCAR format:
```
Hf2NbMo
1.0
-2.156 1.174 1.570
-1.493 -1.646 1.884
5.872 2.381 8.984
Hf Nb Mo
2 1 1
Direct
0.916 0.916 0.251
0.084 0.084 0.749
0.500 0.500 0.500
0.000 0.000 0.000
```

- DOS at the Fermi energy: 1.358 states/eV per atom
- Formation enthalpy at 0 K: 522 meV/atom
- SG: R-3m, No. 166
- Calculated total energy: -9.68 eV per atom